1) AlP2PtCl after structural relaxation. Source: Alexandria, functional GGA-PBE.

Summary:
Its total magnetic moment is 0.00 Bohr magnetons per cell. The calculation puts the density at 4.7 g/cm³. As for the crystal system: tetragonal.

Cell and atoms, written as POSCAR:
```
AlP2PtCl
1.0
4.615 0.000 0.000
0.000 4.615 0.000
0.000 0.000 5.347
Al P Pt Cl
1 2 1 1
Direct
0.000 0.000 0.000 Al
0.000 0.500 0.500 P
0.500 0.000 0.500 P
0.500 0.500 0.500 Pt
0.500 0.500 0.000 Cl
```

***

2) AlP2PtCl after structural relaxation. Source: Alexandria, functional GGA-PBE.

Summary:
Its total magnetic moment is 0.00 Bohr magnetons per cell. The calculation puts the density at 5.5 g/cm³. As for the crystal system: tetragonal.

Cell and atoms, written as POSCAR:
```
AlP2PtCl
1.0
4.694 0.000 0.000
0.000 4.694 0.000
0.000 0.000 4.357
Al P Pt Cl
1 2 1 1
Direct
0.000 0.000 0.000 Al
0.000 0.500 0.000 P
0.500 0.000 0.000 P
0.500 0.500 0.500 Pt
0.000 0.000 0.500 Cl
```

***

The winner here is 1), beating the second structure by 0.104 eV/atom.

***

1) RbAlP2Cl after structural relaxation. Source: Alexandria, functional GGA-PBE.

Summary:
Its total magnetic moment is 0.00 Bohr magnetons per cell. The calculation puts the density at 2.7 g/cm³. As for the crystal system: tetragonal.

Cell and atoms, written as POSCAR:
```
RbAlP2Cl
1.0
4.625 0.000 0.000
0.000 4.625 0.000
0.000 0.000 6.073
Rb Al P Cl
1 1 2 1
Direct
0.000 0.000 0.000 Rb
0.500 0.500 0.500 Al
0.000 0.500 0.500 P
0.500 0.000 0.500 P
0.500 0.500 0.000 Cl
```

***

2) RbAlP2Cl after structural relaxation. Source: Alexandria, functional GGA-PBE.

Summary:
Its total magnetic moment is 5.00 Bohr magnetons per cell. The calculation puts the density at 1.4 g/cm³. As for the crystal system: tetragonal.

Cell and atoms, written as POSCAR:
```
RbAlP2Cl
1.0
6.405 0.000 0.000
0.000 6.405 0.000
0.000 0.000 5.964
Rb Al P Cl
1 1 2 1
Direct
0.000 0.000 0.000 Rb
0.500 0.500 0.500 Al
0.000 0.500 0.000 P
0.500 0.000 0.000 P
0.000 0.000 0.500 Cl
```

***

The winner here is 1), beating the second structure by 1.393 eV/atom.

***

1) AlRePCl2 after structural relaxation. Source: Alexandria, functional GGA-PBE.

Summary:
Its total magnetic moment is 4.69 Bohr magnetons per cell. The calculation puts the density at 5.0 g/cm³. As for the crystal system: tetragonal.

Cell and atoms, written as POSCAR:
```
AlRePCl2
1.0
4.485 0.000 0.000
0.000 4.485 0.000
0.000 0.000 5.193
Al Re P Cl
1 1 1 2
Direct
0.000 0.000 0.000 Al
0.500 0.500 0.500 Re
0.000 0.000 0.500 P
0.000 0.500 0.000 Cl
0.500 0.000 0.000 Cl
```

***

2) AlRePCl2 after structural relaxation. Source: Alexandria, functional GGA-PBE.

Summary:
Its total magnetic moment is 0.91 Bohr magnetons per cell. The calculation puts the density at 4.6 g/cm³. As for the crystal system: tetragonal.

Cell and atoms, written as POSCAR:
```
AlRePCl2
1.0
4.985 0.000 0.000
0.000 4.985 0.000
0.000 0.000 4.585
Al Re P Cl
1 1 1 2
Direct
0.000 0.000 0.000 Al
0.500 0.500 0.500 Re
0.500 0.500 0.000 P
0.000 0.500 0.500 Cl
0.500 0.000 0.500 Cl
```

***

The winner here is 2), beating the second structure by 0.341 eV/atom.

***

1) SrAlP2Cl after structural relaxation. Source: Alexandria, functional GGA-PBE.

Summary:
Its total magnetic moment is 3.22 Bohr magnetons per cell. The calculation puts the density at 1.9 g/cm³. As for the crystal system: tetragonal.

Cell and atoms, written as POSCAR:
```
SrAlP2Cl
1.0
5.865 0.000 0.000
0.000 5.865 0.000
0.000 0.000 5.500
Sr Al P Cl
1 1 2 1
Direct
0.000 0.000 0.000 Sr
0.500 0.500 0.500 Al
0.000 0.500 0.000 P
0.500 0.000 0.000 P
0.000 0.000 0.500 Cl
```

***

2) SrAlP2Cl after structural relaxation. Source: Alexandria, functional GGA-PBE.

Summary:
Its total magnetic moment is 0.00 Bohr magnetons per cell. The calculation puts the density at 3.1 g/cm³. As for the crystal system: tetragonal.

Cell and atoms, written as POSCAR:
```
SrAlP2Cl
1.0
4.608 0.000 0.000
0.000 4.608 0.000
0.000 0.000 5.422
Sr Al P Cl
1 1 2 1
Direct
0.000 0.000 0.000 Sr
0.500 0.500 0.500 Al
0.000 0.500 0.500 P
0.500 0.000 0.500 P
0.500 0.500 0.000 Cl
```

***

The winner here is 2), beating the second structure by 1.168 eV/atom.

***

1) TaAlPCl2 after structural relaxation. Source: Alexandria, functional GGA-PBE.

Summary:
Its total magnetic moment is 0.81 Bohr magnetons per cell. The calculation puts the density at 4.6 g/cm³. As for the crystal system: tetragonal.

Cell and atoms, written as POSCAR:
```
TaAlPCl2
1.0
4.226 0.000 0.000
0.000 4.226 0.000
0.000 0.000 6.256
Ta Al P Cl
1 1 1 2
Direct
0.000 0.000 0.000 Ta
0.000 0.000 0.500 Al
0.500 0.500 0.000 P
0.000 0.500 0.500 Cl
0.500 0.000 0.500 Cl
```

***

2) TaAlPCl2 after structural relaxation. Source: Alexandria, functional GGA-PBE.

Summary:
Its total magnetic moment is 0.10 Bohr magnetons per cell. The calculation puts the density at 4.4 g/cm³. As for the crystal system: tetragonal.

Cell and atoms, written as POSCAR:
```
TaAlPCl2
1.0
4.897 0.000 0.000
0.000 4.897 0.000
0.000 0.000 4.911
Ta Al P Cl
1 1 1 2
Direct
0.000 0.000 0.000 Ta
0.500 0.500 0.500 Al
0.000 0.000 0.500 P
0.000 0.500 0.000 Cl
0.500 0.000 0.000 Cl
```

***

3) TaAlPCl2 after structural relaxation. Source: Alexandria, functional GGA-PBE.

Summary:
Its total magnetic moment is 2.67 Bohr magnetons per cell. The calculation puts the density at 5.1 g/cm³. As for the crystal system: tetragonal.

Cell and atoms, written as POSCAR:
```
TaAlPCl2
1.0
4.461 0.000 0.000
0.000 4.461 0.000
0.000 0.000 5.073
Ta Al P Cl
1 1 1 2
Direct
0.000 0.000 0.000 Ta
0.500 0.500 0.500 Al
0.500 0.500 0.000 P
0.000 0.500 0.500 Cl
0.500 0.000 0.500 Cl
```

***

The winner here is 2), beating the second structure by 0.562 eV/atom.

***

1) AlTlPCl2 after structural relaxation. Source: Alexandria, functional GGA-PBE.

Summary:
Its total magnetic moment is 1.60 Bohr magnetons per cell. The calculation puts the density at 3.4 g/cm³. As for the crystal system: tetragonal.

Cell and atoms, written as POSCAR:
```
AlTlPCl2
1.0
5.577 0.000 0.000
0.000 5.577 0.000
0.000 0.000 5.243
Al Tl P Cl
1 1 1 2
Direct
0.000 0.000 0.000 Al
0.500 0.500 0.500 Tl
0.500 0.500 0.000 P
0.000 0.500 0.500 Cl
0.500 0.000 0.500 Cl
```

***

2) AlTlPCl2 after structural relaxation. Source: Alexandria, functional GGA-PBE.

Summary:
Its total magnetic moment is 0.00 Bohr magnetons per cell. The calculation puts the density at 4.9 g/cm³. As for the crystal system: tetragonal.

Cell and atoms, written as POSCAR:
```
AlTlPCl2
1.0
4.811 0.000 0.000
0.000 4.811 0.000
0.000 0.000 4.928
Al Tl P Cl
1 1 1 2
Direct
0.000 0.000 0.000 Al
0.500 0.500 0.500 Tl
0.000 0.000 0.500 P
0.000 0.500 0.000 Cl
0.500 0.000 0.000 Cl
```

***

The winner here is 2), beating the second structure by 0.739 eV/atom.